Record 1
DFT (PBE) results for a geometry-optimized CdW3 structure.

The structure in POSCAR format:
```
CdW3
1.0
4.926 0.000 0.000
0.000 4.926 0.000
0.000 0.000 4.926
W Cd
3 1
direct
0.500 0.000 0.000 W
0.000 0.500 0.000 W
0.000 0.000 0.500 W
0.000 0.000 0.000 Cd
```

* E_tot: -5.544 eV per atom
* calculated formation energy: 4.399 eV per atom
* space-group type: Pm-3m, No. 221

Record 2
DFT (PBE) results for a geometry-optimized BaP2O structure.

The structure in POSCAR format:
```
BaP2O
1.0
-3.553 0.626 -3.530
-3.572 -1.057 3.407
-3.992 6.417 1.547
Ba O P
2 2 4
direct
0.000 0.000 0.000 Ba
0.750 0.250 0.500 Ba
0.500 0.500 0.000 O
0.250 0.750 0.500 O
0.875 0.625 0.750 P
0.375 0.625 0.250 P
0.375 0.125 0.250 P
0.375 0.625 0.750 P
```

* E_tot: -4.977 eV per atom
* space-group type: I4_1/amd, No. 141
* formation energy without anion corrections: -552 meV per atom

Copy entry 1 word for word.
DFT (PBE) results for a geometry-optimized CdW3 structure.

The structure in POSCAR format:
```
CdW3
1.0
4.926 0.000 0.000
0.000 4.926 0.000
0.000 0.000 4.926
W Cd
3 1
direct
0.500 0.000 0.000 W
0.000 0.500 0.000 W
0.000 0.000 0.500 W
0.000 0.000 0.000 Cd
```

* E_tot: -5.544 eV per atom
* calculated formation energy: 4.399 eV per atom
* space-group type: Pm-3m, No. 221

Question: The highest E_tot belongs to which entry?
Answer: BaP2O

Question: Among the records above, which one has the highest E_tot?
Answer: BaP2O

Question: Number 2 is which compound?
Answer: BaP2O